# Cs2BiPd2 (PBE, optimized geometry)
# formation energy from the elements = -0.24 eV per formula unit
# space group = P4/mbm (127)
# E above lowest polymorph = 0.000 eV/atom
data_Cs2BiPd2
_chemical_formula_sum 'Cs4 Bi2 Pd4'
_cell_length_a 7.320
_cell_length_b 7.320
_cell_length_c 6.022
_cell_angle_alpha 90.00
_cell_angle_beta 90.00
_cell_angle_gamma 90.00
_space_group_name_H-M_alt 'P 1'
_space_group_IT_number 1
_space_group_name_Hall 'P 1'
loop_
_atom_site_label
_atom_site_fract_x
_atom_site_fract_y
_atom_site_fract_z
Bi1 0.000 0.000 0.000
Bi2 0.500 0.500 0.000
Cs1 0.820 0.320 0.500
Cs2 0.320 0.180 0.500
Cs3 0.680 0.820 0.500
Cs4 0.180 0.680 0.500
Pd1 0.368 0.868 0.000
Pd2 0.868 0.632 0.000
Pd3 0.632 0.132 0.000
Pd4 0.132 0.368 0.000

# CsBi12Pd4 (PBE, optimized geometry)
# formation energy from the elements = -3.56 eV per formula unit
# space group = Im-3 (204)
data_CsBi12Pd4
_chemical_formula_sum 'Cs1 Bi12 Pd4'
_cell_length_a 8.712
_cell_length_b 8.712
_cell_length_c 8.712
_cell_angle_alpha 109.47
_cell_angle_beta 109.47
_cell_angle_gamma 109.47
_space_group_name_H-M_alt 'P 1'
_space_group_IT_number 1
_space_group_name_Hall 'P 1'
loop_
_atom_site_label
_atom_site_fract_x
_atom_site_fract_y
_atom_site_fract_z
Bi1 0.345 0.506 0.161
Bi2 0.494 0.839 0.655
Bi3 0.655 0.494 0.839
Bi4 0.345 0.184 0.839
Bi5 0.161 0.345 0.506
Bi6 0.839 0.345 0.184
Bi7 0.506 0.161 0.345
Bi8 0.184 0.839 0.345
Bi9 0.655 0.816 0.161
Bi10 0.839 0.655 0.494
Bi11 0.816 0.161 0.655
Bi12 0.161 0.655 0.816
Pd1 0.000 0.500 0.000
Pd2 0.500 0.000 0.000
Pd3 0.000 0.000 0.500
Pd4 0.500 0.500 0.500
Cs1 0.000 0.000 0.000